{
  "formula": "RbTlW3",
  "functional": "PBE-GGA",
  "state": "relaxed",
  "lattice": [[4.793, 0.000, 0.000], [0.000, 4.793, 0.000], [0.000, 0.000, 4.793]],
  "species": ["Rb", "Tl", "W", "W", "W"],
  "frac_coords": [[0.000, 0.000, 0.000], [0.500, 0.500, 0.500], [0.500, 0.000, 0.000], [0.000, 0.500, 0.000], [0.000, 0.000, 0.500]],
  "formation_energy_ev_per_atom": 3.89,
  "spacegroup": "Pm-3m, No. 221",
  "crystal_system": "cubic",
  "e_above_lowest_polymorph_ev_per_fu": 2.85
}

---

{
  "formula": "BeFeCo2",
  "functional": "PBE-GGA",
  "state": "relaxed",
  "lattice": [[-0.719, 0.643, -2.279], [-3.236, -0.605, 0.851], [-0.482, 4.632, 1.458]],
  "species": ["Co", "Fe", "Co", "Be"],
  "frac_coords": [[0.500, 0.500, 0.247], [0.000, 0.000, 0.509], [0.000, 0.000, 0.987], [0.500, 0.500, 0.757]],
  "formation_energy_ev_per_atom": -0.07,
  "spacegroup": "Pmm2, No. 25",
  "crystal_system": "orthorhombic"
}

---

{
  "formula": "PrNb2B6",
  "functional": "PBE-GGA",
  "state": "relaxed",
  "lattice": [[-2.820, 0.950, -2.077], [0.579, -4.672, -2.922], [-3.268, 0.083, 4.474]],
  "species": ["B", "B", "B", "B", "Nb", "B", "Pr", "B", "Nb"],
  "frac_coords": [[0.500, 0.343, 0.000], [0.500, 0.657, 0.657], [0.500, 0.000, 0.343], [0.500, 0.657, 0.000], [0.000, 0.667, 0.333], [0.500, 0.343, 0.343], [0.000, 0.000, 0.000], [0.500, 0.000, 0.657], [0.000, 0.333, 0.667]],
  "formation_energy_ev_per_atom": -0.47,
  "spacegroup": "P6/mmm, No. 191",
  "crystal_system": "hexagonal"
}

---

Repeat the third record exactly.
{
  "formula": "PrNb2B6",
  "functional": "PBE-GGA",
  "state": "relaxed",
  "lattice": [[-2.820, 0.950, -2.077], [0.579, -4.672, -2.922], [-3.268, 0.083, 4.474]],
  "species": ["B", "B", "B", "B", "Nb", "B", "Pr", "B", "Nb"],
  "frac_coords": [[0.500, 0.343, 0.000], [0.500, 0.657, 0.657], [0.500, 0.000, 0.343], [0.500, 0.657, 0.000], [0.000, 0.667, 0.333], [0.500, 0.343, 0.343], [0.000, 0.000, 0.000], [0.500, 0.000, 0.657], [0.000, 0.333, 0.667]],
  "formation_energy_ev_per_atom": -0.47,
  "spacegroup": "P6/mmm, No. 191",
  "crystal_system": "hexagonal"
}